No. 1
LaP2SO PBE optimized geometry; distance to the lowest polymorph of the same formula = 979.6 meV/atom; energy = -4.571 eV per atom; E_form (uncorrected) = 0.395 eV/atom; total moment = 0.0 μB/cell; symmetry = No. 123; crystal system = tetragonal
1.0
5.741 0.000 0.000
0.000 5.741 0.000
0.000 0.000 4.168
La P S O
1 2 1 1
direct
0.000 0.000 0.000 La
0.000 0.500 0.000 P
0.500 0.000 0.000 P
0.500 0.500 0.500 S
0.000 0.000 0.500 O

No. 2
LaPS2O PBE optimized geometry; distance to the lowest polymorph of the same formula = 0.0 meV/atom; energy = -5.252 eV per atom; E_form (uncorrected) = -0.542 eV/atom; total moment = 0.0 μB/cell; symmetry = No. 123; crystal system = tetragonal
1.0
4.533 0.000 0.000
0.000 4.533 0.000
0.000 0.000 4.219
La P S O
1 1 2 1
direct
0.000 0.000 0.000 La
0.500 0.500 0.000 P
0.000 0.500 0.500 S
0.500 0.000 0.500 S
0.500 0.500 0.500 O

No. 3
LaPSO2 PBE optimized geometry; energy = -5.734 eV per atom; E_form (uncorrected) = -0.858 eV/atom; total moment = 0.0 μB/cell; symmetry = No. 123; crystal system = tetragonal
1.0
4.146 0.000 0.000
0.000 4.146 0.000
0.000 0.000 4.416
La P S O
1 1 1 2
direct
0.000 0.000 0.000 La
0.500 0.500 0.000 P
0.500 0.500 0.500 S
0.000 0.500 0.500 O
0.500 0.000 0.500 O

No. 4
La4PS2O PBE optimized geometry; energy = -6.924 eV per atom; E_form (uncorrected) = -2.133 eV/atom; total moment = 0.0 μB/cell; symmetry = No. 10; crystal system = monoclinic
1.0
7.003 0.000 0.000
0.000 4.063 0.000
-2.338 0.000 6.730
La P S O
4 1 2 1
direct
0.229 0.000 0.226 La
0.239 0.500 0.765 La
0.761 0.500 0.235 La
0.771 0.000 0.774 La
0.500 0.000 0.000 P
0.000 0.000 0.500 S
0.500 0.500 0.500 S
0.000 0.500 0.000 O

No. 5
LaP2SO PBE optimized geometry; distance to the lowest polymorph of the same formula = 0.0 meV/atom; energy = -5.551 eV per atom; E_form (uncorrected) = -0.585 eV/atom; total moment = 0.0 μB/cell; symmetry = No. 123; crystal system = tetragonal
1.0
3.981 0.000 0.000
0.000 3.981 0.000
0.000 0.000 6.095
La P S O
1 2 1 1
direct
0.000 0.000 0.000 La
0.000 0.500 0.500 P
0.500 0.000 0.500 P
0.500 0.500 0.000 S
0.500 0.500 0.500 O

No. 6
LaP2SO PBE optimized geometry; distance to the lowest polymorph of the same formula = 1662.5 meV/atom; energy = -3.889 eV per atom; E_form (uncorrected) = 1.078 eV/atom; total moment = 2.1 μB/cell; symmetry = No. 123; crystal system = tetragonal
1.0
5.987 0.000 0.000
0.000 5.987 0.000
0.000 0.000 5.409
La P S O
1 2 1 1
direct
0.000 0.000 0.000 La
0.000 0.500 0.000 P
0.500 0.000 0.000 P
0.000 0.000 0.500 S
0.500 0.500 0.500 O

No. 7
La4PSO2 PBE optimized geometry; energy = -7.206 eV per atom; E_form (uncorrected) = -2.311 eV/atom; total moment = 0.0 μB/cell; symmetry = No. 10; crystal system = monoclinic
1.0
6.809 0.000 0.000
0.000 3.926 0.000
-2.264 0.000 6.432
La P S O
4 1 1 2
direct
0.237 0.000 0.218 La
0.260 0.500 0.781 La
0.740 0.500 0.219 La
0.763 0.000 0.782 La
0.000 0.000 0.500 P
0.500 0.500 0.500 S
0.000 0.500 0.000 O
0.500 0.000 0.000 O

No. 8
La6P3S2O PBE optimized geometry; energy = -6.882 eV per atom; E_form (uncorrected) = -1.965 eV/atom; total moment = 0.0 μB/cell; symmetry = No. 12; crystal system = monoclinic
1.0
8.992 -2.079 0.000
8.992 2.079 0.000
-1.822 0.000 8.065
La P S O
6 3 2 1
direct
0.002 0.002 0.266 La
0.334 0.334 0.913 La
0.342 0.342 0.424 La
0.658 0.658 0.576 La
0.666 0.666 0.087 La
0.998 0.998 0.734 La
0.169 0.169 0.336 P
0.500 0.500 0.000 P
0.831 0.831 0.664 P
0.165 0.165 0.832 S
0.835 0.835 0.168 S
0.500 0.500 0.500 O